! Ga2FeNi5 (PBE, optimized geometry); values from VASP
! Symmetry: I4/mmm (139)
! Fermi-level density of states: 0.62 states/eV/atom
! DFT formation energy: -200 meV per atom
&SYSTEM
  ibrav = 0, nat = 8, ntyp = 3
/
ATOMIC_SPECIES
Ni 58.69 Ni.upf
Fe 55.84 Fe.upf
Ga 69.72 Ga.upf
CELL_PARAMETERS angstrom
3.6041 0.0000 -0.9907
-0.2723 3.5938 -0.9907
0.0497 0.0536 7.2320
ATOMIC_POSITIONS crystal
Ni 0.1235 0.6235 0.2470
Ni 0.6235 0.1235 0.2470
Ni 0.5000 0.5000 0.0000
Fe 0.0000 0.0000 0.0000
Ga 0.7484 0.7484 0.4968
Ni 0.3765 0.8765 0.7530
Ni 0.8765 0.3765 0.7530
Ga 0.2516 0.2516 0.5032